1.
LiTi3Zn | GGA-PBEsol | optimized geometry

Unit cell a=4.728 b=4.728 c=4.728 alpha=90.00 beta=90.00 gamma=90.00
Space group Pm-3m (No. 221)
Inequivalent atoms, fractional coordinates:
1 Li 0.000 0.000 0.000
2 Ti 0.000 0.500 0.500
3 Zn 0.500 0.500 0.500

Values from the calculation:
E_form (eV per atom): 0.915
Magnetization (μB per formula unit): 3.133
Energy (eV per atom): -4.788

2.
LiTiZn2 | GGA-PBEsol | optimized geometry

Unit cell a=6.108 b=6.108 c=6.108 alpha=90.00 beta=90.00 gamma=90.00
Space group Fm-3m (No. 225)
Inequivalent atoms, fractional coordinates:
1 Li 0.000 0.000 0.000
2 Ti 0.000 0.000 0.500
3 Zn 0.250 0.250 0.250

Values from the calculation:
E_form (eV per atom): -0.119
Magnetization (μB per formula unit): 0.001
Energy (eV per atom): -3.482

3.
LiZrTi2 | GGA-PBEsol | optimized geometry

Unit cell a=6.523 b=6.523 c=6.523 alpha=90.00 beta=90.00 gamma=90.00
Space group Fm-3m (No. 225)
Inequivalent atoms, fractional coordinates:
1 Li 0.000 0.000 0.000
2 Zr 0.000 0.000 0.500
3 Ti 0.250 0.250 0.250

Values from the calculation:
E_form (eV per atom): 0.387
Magnetization (μB per formula unit): 0.001
Energy (eV per atom): -6.538
Offset from the most stable computed form (eV/atom): 0.000

4.
LiZrTi2 | GGA-PBEsol | optimized geometry

Unit cell a=3.807 b=3.807 c=19.404 alpha=90.00 beta=90.00 gamma=90.00
Space group I-42d (No. 122)
Inequivalent atoms, fractional coordinates:
1 Li 0.000 0.000 0.000
2 Zr 0.000 0.000 0.500
3 Ti 0.249 0.250 0.125

Values from the calculation:
E_form (eV per atom): 0.543
Magnetization (μB per formula unit): 0.001
Energy (eV per atom): -6.382
Offset from the most stable computed form (eV/atom): 0.156

5.
Li3ZrTi | GGA-PBEsol | optimized geometry

Unit cell a=4.571 b=4.571 c=4.571 alpha=90.00 beta=90.00 gamma=90.00
Space group Pm-3m (No. 221)
Inequivalent atoms, fractional coordinates:
1 Li 0.000 0.000 0.500
2 Zr 0.500 0.500 0.500
3 Ti 0.000 0.000 0.000

Values from the calculation:
E_form (eV per atom): 1.189
Magnetization (μB per formula unit): 2.986
Energy (eV per atom): -3.473

6.
Li5Tl2 | GGA-PBEsol | optimized geometry

Unit cell a=4.6528 b=4.6528 c=20.1728 alpha=90.00 beta=90.00 gamma=120.00
Space group R-3m (No. 166, hexagonal axes)
Inequivalent atoms, fractional coordinates:
1 Li 0.0000 0.0000 0.0000
2 Li 0.0000 0.0000 0.1462
3 Li 0.0000 0.0000 0.2872
4 Tl 0.0000 0.0000 0.4253

Values from the calculation:
E_form (eV per atom): -0.268
Magnetization (μB per formula unit): 0.000
Energy (eV per atom): -2.424

7.
Li3Tl | GGA-PBEsol | optimized geometry

Unit cell a=3.435 b=3.435 c=6.451 alpha=90.00 beta=90.00 gamma=90.00
Space group P4/mmm (No. 123)
Inequivalent atoms, fractional coordinates:
1 Li 0.000 0.000 0.000
2 Li 0.500 0.500 0.257
3 Tl 0.000 0.000 0.500

Values from the calculation:
E_form (eV per atom): -0.185
Magnetization (μB per formula unit): 0.001
Energy (eV per atom): -2.318

8.
Li3Tl | GGA-PBEsol | optimized geometry

Unit cell a=4.189 b=4.189 c=4.189 alpha=90.00 beta=90.00 gamma=90.00
Space group Pm-3m (No. 221)
Inequivalent atoms, fractional coordinates:
1 Li 0.000 0.000 0.500
2 Tl 0.500 0.500 0.500

Values from the calculation:
E_form (eV per atom): -0.214
Magnetization (μB per formula unit): 0.003
Energy (eV per atom): -2.347

9.
LiTl3 | GGA-PBEsol | optimized geometry

Unit cell a=6.6506 b=6.6506 c=10.5176 alpha=90.00 beta=90.00 gamma=120.00
Space group P6_3/mmc (No. 194)
Inequivalent atoms, fractional coordinates:
1 Li 0.0000 0.0000 0.0000
2 Li 0.3333 0.6667 0.2500
3 Tl 0.0000 0.5000 0.0000
4 Tl 0.1643 0.3286 0.7500

Values from the calculation:
E_form (eV per atom): -0.096
Magnetization (μB per formula unit): 0.000
Energy (eV per atom): -2.561

10.
Li3Tl5 | GGA-PBEsol | optimized geometry

Unit cell a=8.3164 b=8.3164 c=6.0845 alpha=90.00 beta=90.00 gamma=120.00
Space group P6_3/mcm (No. 193)
Inequivalent atoms, fractional coordinates:
1 Li 0.0000 0.4022 0.2500
2 Tl 0.0000 0.2368 0.7500
3 Tl 0.3333 0.6667 0.0000

Values from the calculation:
E_form (eV per atom): -0.158
Magnetization (μB per formula unit): 0.000
Energy (eV per atom): -2.540

11.
Li3Tl | GGA-PBEsol | optimized geometry

Unit cell a=5.9184 b=5.9184 c=9.6419 alpha=90.00 beta=90.00 gamma=120.00
Space group P6_3/mmc (No. 194)
Inequivalent atoms, fractional coordinates:
1 Li 0.0000 0.5000 0.0000
2 Li 0.1611 0.3222 0.2500
3 Tl 0.0000 0.0000 0.0000
4 Tl 0.3333 0.6667 0.7500

Values from the calculation:
E_form (eV per atom): -0.224
Magnetization (μB per formula unit): 0.000
Energy (eV per atom): -2.356

12.
LiTl3 | GGA-PBEsol | optimized geometry

Unit cell a=3.425 b=4.933 c=6.263 alpha=90.00 beta=105.86 gamma=90.00
Space group P2/m (No. 10)
Inequivalent atoms, fractional coordinates:
1 Li 0.000 0.000 0.000
2 Tl 0.184 0.500 0.764
3 Tl 0.500 0.000 0.500

Values from the calculation:
E_form (eV per atom): -0.077
Magnetization (μB per formula unit): 0.000
Energy (eV per atom): -2.541

13.
Li3Tl | GGA-PBEsol | optimized geometry

Unit cell a=4.656 b=9.124 c=6.821 alpha=90.00 beta=90.00 gamma=90.00
Space group Pnma (No. 62)
Inequivalent atoms, fractional coordinates:
1 Li 0.249 0.250 0.151
2 Li 0.250 0.028 0.877
3 Tl 0.249 0.250 0.584

Values from the calculation:
E_form (eV per atom): -0.226
Magnetization (μB per formula unit): 0.000
Energy (eV per atom): -2.358

14.
LiTl3 | GGA-PBEsol | optimized geometry

Unit cell a=3.350 b=3.350 c=8.663 alpha=90.00 beta=90.00 gamma=90.00
Space group P4/mmm (No. 123)
Inequivalent atoms, fractional coordinates:
1 Li 0.000 0.000 0.000
2 Tl 0.000 0.000 0.500
3 Tl 0.500 0.500 0.213

Values from the calculation:
E_form (eV per atom): -0.102
Magnetization (μB per formula unit): 0.000
Energy (eV per atom): -2.566

15.
LiTl3 | GGA-PBEsol | optimized geometry

Unit cell a=3.4462 b=3.4462 c=9.7848 alpha=90.00 beta=90.00 gamma=120.00
Space group P-6m2 (No. 187)
Inequivalent atoms, fractional coordinates:
1 Li 0.0000 0.0000 0.0000
2 Tl 0.0000 0.0000 0.5000
3 Tl 0.3333 0.6667 0.2259

Values from the calculation:
E_form (eV per atom): -0.072
Magnetization (μB per formula unit): 0.000
Energy (eV per atom): -2.536

16.
Li3Tl | GGA-PBEsol | optimized geometry

Unit cell a=9.1176 b=9.1176 c=3.1595 alpha=90.00 beta=90.00 gamma=120.00
Space group R-3m (No. 166, hexagonal axes)
Inequivalent atoms, fractional coordinates:
1 Li 0.0000 0.5000 0.0000
2 Tl 0.0000 0.0000 0.0000

Values from the calculation:
E_form (eV per atom): -0.180
Magnetization (μB per formula unit): 0.000
Energy (eV per atom): -2.313

17.
Li3Tl | GGA-PBEsol | optimized geometry

Unit cell a=3.135 b=4.777 c=5.182 alpha=90.00 beta=98.07 gamma=90.00
Space group P2/m (No. 10)
Inequivalent atoms, fractional coordinates:
1 Li 0.000 0.000 0.000
2 Li 0.241 0.500 0.738
3 Tl 0.500 0.000 0.500

Values from the calculation:
E_form (eV per atom): -0.179
Magnetization (μB per formula unit): 0.000
Energy (eV per atom): -2.311

18.
Li3Tl | GGA-PBEsol | optimized geometry

Unit cell a=3.237 b=3.877 c=6.128 alpha=90.00 beta=90.00 gamma=90.00
Space group Pmmm (No. 47)
Inequivalent atoms, fractional coordinates:
1 Li 0.000 0.000 0.000
2 Li 0.500 0.500 0.261
3 Tl 0.000 0.000 0.500

Values from the calculation:
E_form (eV per atom): -0.185
Magnetization (μB per formula unit): 0.000
Energy (eV per atom): -2.317

19.
Li8Tl | GGA-PBEsol | optimized geometry

Unit cell a=8.980 b=8.980 c=4.241 alpha=90.00 beta=90.00 gamma=90.00
Space group I4/mmm (No. 139)
Inequivalent atoms, fractional coordinates:
1 Li 0.000 0.328 0.000
2 Li 0.161 0.161 0.500
3 Tl 0.000 0.000 0.000

Values from the calculation:
E_form (eV per atom): -0.111
Magnetization (μB per formula unit): 0.000
Energy (eV per atom): -2.151

20.
LiTl3 | GGA-PBEsol | optimized geometry

Unit cell a=10.4523 b=10.4523 c=3.2996 alpha=90.00 beta=90.00 gamma=120.00
Space group R-3m (No. 166, hexagonal axes)
Inequivalent atoms, fractional coordinates:
1 Li 0.0000 0.0000 0.0000
2 Tl 0.0000 0.5000 0.0000

Values from the calculation:
E_form (eV per atom): -0.071
Magnetization (μB per formula unit): 0.000
Energy (eV per atom): -2.535

21.
Li5Tl24 | GGA-PBEsol | optimized geometry

Unit cell a=11.697 b=11.697 c=11.697 alpha=90.00 beta=90.00 gamma=90.00
Space group I-43m (No. 217)
Inequivalent atoms, fractional coordinates:
1 Li 0.000 0.000 0.000
2 Li 0.180 0.180 0.820
3 Tl 0.048 0.360 0.360
4 Tl 0.092 0.092 0.283

Values from the calculation:
E_form (eV per atom): -0.019
Magnetization (μB per formula unit): 0.000
Energy (eV per atom): -2.535

22.
LiTl3 | GGA-PBEsol | optimized geometry

Unit cell a=6.584 b=11.313 c=5.421 alpha=90.00 beta=90.00 gamma=90.00
Space group Cmcm (No. 63)
Inequivalent atoms, fractional coordinates:
1 Li 0.000 0.165 0.250
2 Tl 0.000 0.332 0.750
3 Tl 0.248 0.085 0.750

Values from the calculation:
E_form (eV per atom): -0.097
Magnetization (μB per formula unit): 0.000
Energy (eV per atom): -2.562

23.
Li3Tl | GGA-PBEsol | optimized geometry

Unit cell a=5.361 b=5.361 c=5.361 alpha=90.00 beta=90.00 gamma=90.00
Space group Pm-3m (No. 221)
Inequivalent atoms, fractional coordinates:
1 Li 0.000 0.000 0.500
2 Tl 0.000 0.000 0.000

Values from the calculation:
E_form (eV per atom): 0.343
Magnetization (μB per formula unit): 0.011
Energy (eV per atom): -1.789

24.
LiTl3 | GGA-PBEsol | optimized geometry

Unit cell a=4.589 b=4.589 c=9.570 alpha=90.00 beta=90.00 gamma=90.00
Space group I4/mmm (No. 139)
Inequivalent atoms, fractional coordinates:
1 Li 0.000 0.000 0.000
2 Tl 0.000 0.000 0.500
3 Tl 0.000 0.500 0.250

Values from the calculation:
E_form (eV per atom): -0.096
Magnetization (μB per formula unit): 0.000
Energy (eV per atom): -2.561

25.
LiTl3 | GGA-PBEsol | optimized geometry

Unit cell a=7.414 b=7.414 c=7.414 alpha=90.00 beta=90.00 gamma=90.00
Space group Fm-3m (No. 225)
Inequivalent atoms, fractional coordinates:
1 Li 0.000 0.000 0.000
2 Tl 0.000 0.000 0.500
3 Tl 0.250 0.250 0.250

Values from the calculation:
E_form (eV per atom): -0.070
Magnetization (μB per formula unit): 0.000
Energy (eV per atom): -2.534